Record 1
A plane-wave DFT calculation with GGA-PBE was carried out for a geometry-optimized UZnPdPt structure.

Structure (CIF):
```
data_UZnPdPt
_cell_length_a 6.6613
_cell_length_b 6.6613
_cell_length_c 6.6613
_cell_angle_alpha 90.00
_cell_angle_beta 90.00
_cell_angle_gamma 90.00
_symmetry_space_group_name_H-M 'F -4 3 m'
_symmetry_Int_Tables_number 216
_symmetry_space_group_name_Hall 'F -4 2 3'
loop_
_atom_site_label
_atom_site_fract_x
_atom_site_fract_y
_atom_site_fract_z
U1 0.0000 0.0000 0.0000
Zn1 0.0000 0.0000 0.5000
Pd1 0.2500 0.2500 0.2500
Pt1 0.2500 0.2500 0.7500
```

Calculated values
The calculation puts the density of states at the Fermi level at 1.664 states/eV/atom. The calculation puts the uncorrected energy at -102.4 eV per cell.

Record 2
A plane-wave DFT calculation with GGA-PBE was carried out for a geometry-optimized HoIn2F4 structure.

Structure (CIF):
```
data_HoIn2F4
_cell_length_a 4.3612
_cell_length_b 4.3612
_cell_length_c 18.2020
_cell_angle_alpha 90.00
_cell_angle_beta 90.00
_cell_angle_gamma 90.00
_symmetry_space_group_name_H-M 'I 4/m m m'
_symmetry_Int_Tables_number 139
_symmetry_space_group_name_Hall '-I 4 2'
loop_
_atom_site_label
_atom_site_fract_x
_atom_site_fract_y
_atom_site_fract_z
Ho1 0.0000 0.0000 0.0000
In1 0.0000 0.0000 0.2410
F1 0.0000 0.0000 0.1192
F2 0.0000 0.5000 0.0000
```

Calculated values
The calculation puts the density of states at the Fermi level at 0.186 states/eV/atom. The calculation puts the uncorrected energy at -74.2 eV per cell. As for the energy relative to the elements, uncorrected: -2.80 eV/atom.

Record 3
A plane-wave DFT calculation with GGA-PBE was carried out for a geometry-optimized CeTmSc2P4 structure.

Structure (CIF):
```
data_CeTmSc2P4
_cell_length_a 6.7062
_cell_length_b 3.8955
_cell_length_c 6.7388
_cell_angle_alpha 90.00
_cell_angle_beta 109.50
_cell_angle_gamma 90.00
_symmetry_space_group_name_H-M 'P 1 2/m 1'
_symmetry_Int_Tables_number 10
_symmetry_space_group_name_Hall '-P 2y'
loop_
_atom_site_label
_atom_site_fract_x
_atom_site_fract_y
_atom_site_fract_z
Ce1 0.0000 0.0000 0.0000
Tm1 0.0000 0.5000 0.5000
Sc1 0.5000 0.0000 0.5000
Sc2 0.5000 0.5000 0.0000
P1 0.2628 0.0000 0.7522
P2 0.2662 0.5000 0.2585
```

Calculated values
The calculation puts the density of states at the Fermi level at 0.554 states/eV/atom. The calculation puts the uncorrected energy at -56.8 eV per cell.